(1)
Computed, not measured: a PBEsol-optimized structure of SbPPt at the meta-GGA SCAN level of DFT.

Cell and atoms, written as POSCAR:
```
SbPPt
1.0
6.0752 0.0000 0.0000
0.0000 6.0752 0.0000
0.0000 0.0000 6.0752
Sb P Pt
4 4 4
Direct
0.1199 0.3801 0.6199 Sb
0.3801 0.6199 0.1199 Sb
0.6199 0.1199 0.3801 Sb
0.8801 0.8801 0.8801 Sb
0.1191 0.1191 0.1191 P
0.3809 0.8809 0.6191 P
0.6191 0.3809 0.8809 P
0.8809 0.6191 0.3809 P
0.0196 0.9804 0.4804 Pt
0.4804 0.0196 0.9804 Pt
0.5196 0.5196 0.5196 Pt
0.9804 0.4804 0.0196 Pt
```

VASP energy	-39.936	eV/atom
crystal system	cubic
raw formation energy	-0.652	eV/atom
M_tot	0.0	μB/f.u.
offset from the most stable computed form	0.000	eV/atom
calculated density	10.30	g/cm3

(2)
Computed, not measured: a PBEsol-optimized structure of SbPPt at the meta-GGA SCAN level of DFT.

Cell and atoms, written as POSCAR:
```
SbPPt
1.0
4.6243 0.0000 0.0000
-2.3121 4.0048 0.0000
0.0000 0.0000 2.9591
Sb P Pt
1 1 1
Direct
0.0000 0.0000 0.0000 Sb
0.6667 0.3333 0.5000 P
0.3333 0.6667 0.0000 Pt
```

DOS(E_F)	1.6	states/eV per cell
VASP energy	-38.758	eV/atom
crystal system	hexagonal
raw formation energy	0.526	eV/atom
M_tot	0.0	μB/f.u.
offset from the most stable computed form	1.178	eV/atom
calculated density	10.54	g/cm3

(3)
Computed, not measured: a PBEsol-optimized structure of Ti2SbPPt at the meta-GGA SCAN level of DFT.

Cell and atoms, written as POSCAR:
```
Ti2SbPPt
1.0
4.8454 0.0000 0.0000
0.0000 4.8454 0.0000
0.0000 0.0000 4.9157
Ti Sb P Pt
2 1 1 1
Direct
0.0000 0.5000 0.0000 Ti
0.5000 0.0000 0.0000 Ti
0.0000 0.0000 0.5000 Sb
0.5000 0.5000 0.5000 P
0.0000 0.0000 0.0000 Pt
```

DOS(E_F)	4.3	states/eV per cell
VASP energy	-29.557	eV/atom
crystal system	tetragonal
raw formation energy	0.425	eV/atom
M_tot	2.5	μB/f.u.
calculated density	6.38	g/cm3

| no. | volume (Å³/cell) |
| --- | --- |
| 1 | 224 |
| 2 | 55 |
| 3 | 115 |